1.
Here is a relaxed structure of Li3ZnAg3F8 from Alexandria via LeMat-Bulk. Energies are from PBE.

Lattice parameters (Å, degrees): 6.077 6.077 6.975 117.86 117.86 60.17
Atoms (fractional coordinates):
Li  0.000  0.000  0.000
Li  0.000  0.500  0.000
Li  0.500  0.000  0.000
Zn  0.500  0.500  0.000
Ag  0.000  0.500  0.500
Ag  0.500  0.000  0.500
Ag  0.500  0.500  0.500
F  0.234  0.234  0.184
F  0.239  0.735  0.191
F  0.265  0.761  0.809
F  0.270  0.270  0.809
F  0.730  0.730  0.191
F  0.735  0.239  0.191
F  0.761  0.265  0.809
F  0.766  0.766  0.816

## Properties
Uncorrected formation energy, meV/atom: -2011
Calculated total energy, eV per atom: -4.047
SG: No. 12
D(E_F), states/eV/cell: 0.0



2.
Here is a relaxed structure of InTc2Sb from Alexandria via LeMat-Bulk. Energies are from PBE.

Lattice parameters (Å, degrees): 3.088 3.088 8.679 90.00 90.00 116.81
Atoms (fractional coordinates):
In  0.000  0.000  0.000
Tc  0.500  0.500  0.262
Tc  0.500  0.500  0.738
Sb  0.000  0.000  0.500

## Properties
Uncorrected formation energy, meV/atom: 508
Calculated total energy, eV per atom: -6.390
Offset from the most stable computed form, eV/atom: 0.414
SG: No. 65
D(E_F), states/eV/cell: 3.0



3.
Here is a relaxed structure of BaPb2W from Alexandria via LeMat-Bulk. Energies are from PBE.

Lattice parameters (Å, degrees): 3.590 3.622 8.345 90.00 90.05 90.00
Atoms (fractional coordinates):
Ba  0.000  0.000  0.000
Pb  0.500  0.500  0.307
Pb  0.500  0.500  0.693
W  0.000  0.000  0.500

## Properties
Calculated total energy, eV per atom: -5.099
Offset from the most stable computed form, eV/atom: 0.000
SG: No. 10
Formation energy, eV per formula unit: 1.897
D(E_F), states/eV/cell: 3.0



4.
Here is a relaxed structure of Pm4AlCu from Alexandria via LeMat-Bulk. Energies are from PBE.

Lattice parameters (Å, degrees): 5.008 5.008 7.299 90.00 90.00 90.00
Atoms (fractional coordinates):
Pm  0.000  0.500  0.241
Pm  0.000  0.500  0.759
Pm  0.500  0.000  0.241
Pm  0.500  0.000  0.759
Al  0.000  0.000  0.500
Cu  0.500  0.500  0.000

## Properties
Calculated total energy, eV per atom: -4.430
Offset from the most stable computed form, eV/atom: 0.190
SG: No. 123
Formation energy, eV per formula unit: 0.263
D(E_F), states/eV/cell: 8.5



5.
Here is a relaxed structure of Yb2P4O13 from Alexandria via LeMat-Bulk. Energies are from PBE.

Lattice parameters (Å, degrees): 6.911 6.911 13.109 104.34 104.34 59.69
Atoms (fractional coordinates):
Yb  0.185  0.195  0.050
Yb  0.195  0.185  0.550
Yb  0.805  0.815  0.450
Yb  0.815  0.805  0.950
P  0.251  0.282  0.340
P  0.282  0.251  0.840
P  0.326  0.651  0.135
P  0.349  0.674  0.365
P  0.651  0.326  0.635
P  0.674  0.349  0.865
P  0.718  0.749  0.160
P  0.749  0.718  0.660
O  0.052  0.426  0.403
O  0.086  0.419  0.903
O  0.164  0.825  0.061
O  0.175  0.836  0.439
O  0.187  0.207  0.224
O  0.207  0.187  0.724
O  0.243  0.757  0.250
O  0.361  0.413  0.103
O  0.378  0.425  0.345
O  0.413  0.361  0.603
O  0.419  0.086  0.403
O  0.425  0.378  0.845
O  0.426  0.052  0.903
O  0.574  0.948  0.097
O  0.575  0.622  0.155
O  0.581  0.914  0.597
O  0.587  0.639  0.397
O  0.622  0.575  0.655
O  0.639  0.587  0.897
O  0.757  0.243  0.750
O  0.793  0.813  0.276
O  0.813  0.793  0.776
O  0.825  0.164  0.561
O  0.836  0.175  0.939
O  0.914  0.581  0.097
O  0.948  0.574  0.597

## Properties
Uncorrected formation energy, meV/atom: -2417
Calculated total energy, eV per atom: -7.109
Offset from the most stable computed form, eV/atom: 0.026
SG: No. 15
D(E_F), states/eV/cell: 59.1



6.
Here is a relaxed structure of TaCo2Cu2 from Alexandria via LeMat-Bulk. Energies are from PBE.

Lattice parameters (Å, degrees): 6.805 6.805 2.727 90.00 90.00 90.00
Atoms (fractional coordinates):
Ta  0.000  0.000  0.000
Ta  0.500  0.500  0.000
Co  0.172  0.328  0.500
Co  0.328  0.828  0.500
Co  0.672  0.172  0.500
Co  0.828  0.672  0.500
Cu  0.125  0.625  0.000
Cu  0.375  0.125  0.000
Cu  0.625  0.875  0.000
Cu  0.875  0.375  0.000

## Properties
Calculated total energy, eV per atom: -6.643
Offset from the most stable computed form, eV/atom: 0.019
SG: No. 127
Formation energy, eV per formula unit: 1.041
D(E_F), states/eV/cell: 8.7



7.
Here is a relaxed structure of LiNd8Sn6 from Alexandria via LeMat-Bulk. Energies are from PBE.

Lattice parameters (Å, degrees): 8.476 8.476 8.476 67.69 67.69 67.69
Atoms (fractional coordinates):
Li  0.000  0.000  0.000
Nd  0.101  0.782  0.407
Nd  0.218  0.593  0.899
Nd  0.333  0.333  0.333
Nd  0.407  0.101  0.782
Nd  0.593  0.899  0.218
Nd  0.667  0.667  0.667
Nd  0.782  0.407  0.101
Nd  0.899  0.218  0.593
Sn  0.068  0.418  0.728
Sn  0.272  0.932  0.582
Sn  0.418  0.728  0.068
Sn  0.582  0.272  0.932
Sn  0.728  0.068  0.418
Sn  0.932  0.582  0.272

## Properties
Calculated total energy, eV per atom: -4.817
SG: No. 148
Formation energy, eV per formula unit: -8.188
D(E_F), states/eV/cell: 7.1



8.
Here is a relaxed structure of LiPr2Nd3S6 from Alexandria via LeMat-Bulk. Energies are from PBE.

Lattice parameters (Å, degrees): 7.025 7.025 7.025 99.64 99.64 120.18
Atoms (fractional coordinates):
Li  0.000  0.000  0.000
Pr  0.334  0.666  0.000
Pr  0.666  0.334  0.000
Nd  0.166  0.834  0.500
Nd  0.500  0.500  0.500
Nd  0.834  0.166  0.500
S  0.082  0.404  0.246
S  0.239  0.239  0.756
S  0.404  0.082  0.246
S  0.596  0.918  0.754
S  0.761  0.761  0.244
S  0.918  0.596  0.754

## Properties
Uncorrected formation energy, meV/atom: -1951
Calculated total energy, eV per atom: -6.163
SG: No. 12
D(E_F), states/eV/cell: 5.1



9.
Here is a relaxed structure of Bi2OsCl from Alexandria via LeMat-Bulk. Energies are from PBE.

Lattice parameters (Å, degrees): 4.997 4.997 4.997 60.00 60.00 60.00
Atoms (fractional coordinates):
Bi  0.250  0.250  0.250
Bi  0.750  0.750  0.750
Os  0.000  0.000  0.000
Cl  0.500  0.500  0.500

## Properties
Uncorrected formation energy, meV/atom: 630
Calculated total energy, eV per atom: -4.579
Offset from the most stable computed form, eV/atom: 0.153
SG: No. 225
D(E_F), states/eV/cell: 6.0



10.
Here is a relaxed structure of Mn6AuN2 from Alexandria via LeMat-Bulk. Energies are from PBE.

Lattice parameters (Å, degrees): 4.016 4.016 7.588 90.00 90.00 90.00
Atoms (fractional coordinates):
Mn  0.000  0.000  0.000
Mn  0.000  0.000  0.500
Mn  0.000  0.500  0.231
Mn  0.000  0.500  0.769
Mn  0.500  0.000  0.231
Mn  0.500  0.000  0.769
Au  0.500  0.500  0.500
N  0.000  0.000  0.243
N  0.000  0.000  0.757

## Properties
Uncorrected formation energy, meV/atom: -38
Calculated total energy, eV per atom: -8.365
SG: No. 123
D(E_F), states/eV/cell: 5.7



11.
Here is a relaxed structure of LiAc2Zn6Pd from Alexandria via LeMat-Bulk. Energies are from PBE.

Lattice parameters (Å, degrees): 6.497 6.497 6.918 118.20 118.20 59.84
Atoms (fractional coordinates):
Li  0.000  0.000  0.000
Ac  0.216  0.216  0.648
Ac  0.784  0.784  0.352
Zn  0.245  0.245  0.155
Zn  0.246  0.666  0.157
Zn  0.334  0.754  0.843
Zn  0.666  0.246  0.157
Zn  0.754  0.334  0.843
Zn  0.755  0.755  0.845
Pd  0.500  0.500  0.500

## Properties
Calculated total energy, eV per atom: -2.579
SG: No. 12
Formation energy, eV per formula unit: -2.824
D(E_F), states/eV/cell: 4.0



12.
Here is a relaxed structure of TbZrCo from Alexandria via LeMat-Bulk. Energies are from PBE.

Lattice parameters (Å, degrees): 6.369 6.369 11.213 90.00 90.00 120.00
Atoms (fractional coordinates):
Tb  0.000  0.000  0.000
Tb  0.000  0.000  0.333
Tb  0.000  0.000  0.667
Tb  0.000  0.500  0.167
Tb  0.500  0.000  0.500
Tb  0.500  0.500  0.833
Zr  0.000  0.500  0.467
Zr  0.000  0.500  0.867
Zr  0.500  0.000  0.200
Zr  0.500  0.000  0.800
Zr  0.500  0.500  0.133
Zr  0.500  0.500  0.533
Co  0.235  0.617  0.667
Co  0.383  0.617  0.333
Co  0.383  0.765  0.000
Co  0.617  0.235  0.000
Co  0.617  0.383  0.333
Co  0.765  0.383  0.667

## Properties
Calculated total energy, eV per atom: -6.852
Offset from the most stable computed form, eV/atom: 0.079
SG: No. 180
Formation energy, eV per formula unit: -0.272
D(E_F), states/eV/cell: 25.4